Record 1
This record from Alexandria describes a geometry-optimized In2HgBr2 structure. The functional is PBE-GGA.

a b c (Å): 5.4956 5.4956 13.4585
angles (deg): 90.00 90.00 90.00
Closest atoms and distances in Å follow each position.
Space group I4/mmm (No. 139)
One atom of each set of equivalent atoms:
In  0.0000  0.0000  0.1391 (multiplicity 4)  4 Br 3.13
Hg  0.0000  0.0000  0.5000 (multiplicity 2)  8 In 4.31, 8 Br 4.34
Br  0.0000  0.5000  0.2500 (multiplicity 4)  4 In 3.13

Results
uncorrected formation energy = -0.47 eV/atom
energy = -0.0842 Ha/atom
relative energy among the computed polymorphs = 42 meV/atom

Record 2
This record from Alexandria describes a geometry-optimized In5Hg3Br12 structure. The functional is PBE-GGA.

a b c (Å): 18.8318 18.8318 18.8318
angles (deg): 90.00 90.00 90.00
Closest atoms and distances in Å follow each position.
Space group Ia-3d (No. 230)
One atom of each set of equivalent atoms:
In  0.0000  0.0000  0.0000 (multiplicity 16)  6 Br 3.31
In  0.0000  0.2500  0.3750 (multiplicity 24)  4 Br 2.56
Hg  0.0000  0.2500  0.1250 (multiplicity 24)  8 Br 3.73-3.79
Br  0.0439  0.0601  0.6591 (multiplicity 96)  1 In 2.56

Results
uncorrected formation energy = -0.58 eV/atom
energy = -0.0852 Ha/atom

Record 3
This record from Alexandria describes a geometry-optimized In2HgBr6 structure. The functional is PBE-GGA.

a b c (Å): 19.6776 12.2480 6.8256
angles (deg): 90.00 108.41 90.00
Closest atoms and distances in Å follow each position.
Space group C2/c (No. 15)
One atom of each set of equivalent atoms:
In  0.1636  0.1164  0.2840 (multiplicity 8)  4 Br 2.48-2.71
Hg  0.0000  0.4781  0.7500 (multiplicity 4)  2 Hg 3.45, 2 Br 3.54
Br  0.0822  0.2540  0.0633 (multiplicity 8)  1 In 2.48
Br  0.1184  0.0799  0.6077 (multiplicity 8)  2 In 2.67-2.71
Br  0.2038  0.3835  0.6173 (multiplicity 8)  1 In 2.48

Results
uncorrected formation energy = -0.66 eV/atom
energy = -0.0889 Ha/atom

Record 4
This record from Alexandria describes a geometry-optimized In2HgBr3 structure. The functional is PBE-GGA.

a b c (Å): 13.0512 5.2345 13.9899
angles (deg): 90.00 95.13 90.00
Closest atoms and distances in Å follow each position.
Space group C2/m (No. 12)
One atom of each set of equivalent atoms:
In  0.1448  0.0000  0.3447 (multiplicity 4)  3 Br 3.00-3.22, 2 Hg 3.35
In  0.1837  0.0000  0.8521 (multiplicity 4)  4 Br 2.72-2.77
Hg  0.1256  0.5000  0.4917 (multiplicity 4)  1 Hg 3.31, 3 In 3.35-3.60, 2 Br 3.66
Br  0.0862  0.0000  0.6676 (multiplicity 4)  2 In 2.77-3.00
Br  0.1250  0.5000  0.2108 (multiplicity 4)  1 In 2.72
Br  0.1622  0.5000  0.9053 (multiplicity 4)  2 In 2.74

Results
uncorrected formation energy = -0.53 eV/atom
energy = -0.0857 Ha/atom

Record 5
This record from Alexandria describes a geometry-optimized In4HgBr2 structure. The functional is PBE-GGA.

a b c (Å): 5.5515 5.5515 16.8922
angles (deg): 90.00 90.00 90.00
Closest atoms and distances in Å follow each position.
Space group I4/mmm (No. 139)
One atom of each set of equivalent atoms:
In  0.0000  0.0000  0.1835 (multiplicity 4)  1 Hg 3.10, 1 Br 3.22
In  0.0000  0.5000  0.0000 (multiplicity 4)  2 Hg 2.78
Hg  0.0000  0.0000  0.0000 (multiplicity 2)  6 In 2.78-3.10
Br  0.0000  0.0000  0.3739 (multiplicity 4)  5 In 3.22-3.50

Results
uncorrected formation energy = -0.10 eV/atom
energy = -0.0804 Ha/atom

Record 6
This record from Alexandria describes a geometry-optimized In2HgBr8 structure. The functional is PBE-GGA.

a b c (Å): 19.7085 9.2346 13.2640
angles (deg): 90.00 131.89 90.00
Closest atoms and distances in Å follow each position.
Space group C2/c (No. 15)
One atom of each set of equivalent atoms:
In  0.0858  0.2444  0.0396 (multiplicity 8)  4 Br 2.49-2.62
Hg  0.0000  0.4991  0.7500 (multiplicity 4)  6 Br 2.79-2.94
Br  0.0763  0.2778  0.6906 (multiplicity 8)  1 In 2.57
Br  0.0936  0.2625  0.2402 (multiplicity 8)  1 In 2.57
Br  0.1547  0.4771  0.0248 (multiplicity 8)  1 In 2.62, 1 Hg 2.79
Br  0.1630  0.0174  0.0624 (multiplicity 8)  1 In 2.49

Results
uncorrected formation energy = -0.68 eV/atom
energy = -0.0890 Ha/atom
relative energy among the computed polymorphs = 0 meV/atom

Which formula does entry 6 have? In2HgBr8